Density functional theory data (PBE) for a relaxed structure of Fe2MoPtC.

Lattice parameters (Å, degrees): 3.8852 3.8852 4.1118 90.00 90.00 90.00
Closest atoms and distances in Å follow each position.
Fractional positions:
C (0.0000, 0.0000, 0.0000)  4 Fe 1.94, 2 Mo 2.06
Mo (0.0000, 0.0000, 0.5000)  2 C 2.06
Fe (0.0000, 0.5000, 0.0000)  2 C 1.94
Fe (0.5000, 0.0000, 0.0000)  2 C 1.94
Pt (0.5000, 0.5000, 0.5000)  4 Mo 2.75, 8 Fe 2.83

Computed properties:
ΔH_f (0 K) (eV per atom): 0.056
Symmetry: No. 123
D(E_F) (states/eV/f.u.): 6.10
Calculated total energy (Ha/atom): -0.314